Material: ZnCu2SiSe4
Method: DFT, PBE
State: optimized geometry

a = 6.8158 Å, b = 6.8158 Å, c = 6.8158 Å
α = 131.35°, β = 131.35°, γ = 71.26°
With the nearest neighbours (Å) after each atom.
Element x y z (fractional)
Zn 0.0000 0.0000 0.0000  4 Se 2.48
Cu 0.2500 0.7500 0.5000  4 Se 2.45
Cu 0.5000 0.5000 0.0000  4 Se 2.42
Si 0.7500 0.2500 0.5000  4 Se 2.34
Se 0.1169 0.1341 0.5094  1 Si 2.34, 2 Cu 2.42-2.45, 1 Zn 2.48
Se 0.3925 0.8831 0.0173  1 Si 2.34, 2 Cu 2.42-2.45, 1 Zn 2.48
Se 0.6247 0.6075 0.4906  1 Si 2.34, 2 Cu 2.42-2.45, 1 Zn 2.48
Se 0.8659 0.3753 0.9827  1 Si 2.34, 2 Cu 2.42-2.45, 1 Zn 2.48

Properties
- SG = I-4 (82)
- ΔE_f (raw) (eV per atom) = -0.406
- VASP energy (eV per atom) = -4.01

=====

Material: Na2SmY3Se6
Method: DFT, PBE
State: optimized geometry

a = 7.1402 Å, b = 7.1402 Å, c = 7.2379 Å
α = 99.46°, β = 99.46°, γ = 119.95°
With the nearest neighbours (Å) after each atom.
Element x y z (fractional)
Na 0.1662 0.8338 0.0000  6 Se 2.96-2.97
Na 0.8338 0.1662 0.0000  6 Se 2.96-2.97
Sm 0.5000 0.5000 0.0000  6 Se 2.95-2.96
Y 0.0000 0.0000 0.5000  6 Se 2.90
Y 0.3318 0.6682 0.5000  6 Se 2.90
Y 0.6682 0.3318 0.5000  6 Se 2.90
Se 0.0822 0.4145 0.7435  3 Y 2.90, 1 Sm 2.95, 2 Na 2.96
Se 0.2547 0.2547 0.2595  3 Y 2.90, 1 Sm 2.96, 2 Na 2.97
Se 0.4145 0.0822 0.7435  3 Y 2.90, 1 Sm 2.95, 2 Na 2.96
Se 0.5855 0.9178 0.2565  3 Y 2.90, 1 Sm 2.95, 2 Na 2.96
Se 0.7453 0.7453 0.7405  3 Y 2.90, 1 Sm 2.96, 2 Na 2.97
Se 0.9178 0.5855 0.2565  3 Y 2.90, 1 Sm 2.95, 2 Na 2.96

Properties
- SG = C2/m (12)
- ΔE_f (raw) (eV per atom) = -1.736
- VASP energy (eV per atom) = -5.71

=====

Material: Pr5YPb4
Method: DFT, PBE
State: optimized geometry

a = 8.9201 Å, b = 8.9201 Å, c = 7.3909 Å
α = 90.70°, β = 90.70°, γ = 36.11°
With the nearest neighbours (Å) after each atom.
Element x y z (fractional)
Pr 0.0000 0.0000 0.0000  6 Pb 3.36-3.50, 2 Y 3.70
Pr 0.3329 0.3329 0.4931  5 Pb 3.25-3.47, 1 Pr 3.62
Pr 0.3337 0.3337 0.0031  5 Pb 3.29-3.48, 1 Pr 3.62
Pr 0.6663 0.6663 0.9969  5 Pb 3.29-3.48, 1 Pr 3.62
Pr 0.6671 0.6671 0.5069  5 Pb 3.25-3.47, 1 Pr 3.62
Y 0.0000 0.0000 0.5000  6 Pb 3.30-3.45, 2 Pr 3.70
Pb 0.1734 0.1734 0.7480  7 Pr 3.29-3.50, 1 Y 3.45
Pb 0.4918 0.4918 0.7433  6 Pr 3.25-3.48, 2 Y 3.30, 1 Pb 3.61
Pb 0.5082 0.5082 0.2567  6 Pr 3.25-3.48, 2 Y 3.30, 1 Pb 3.61
Pb 0.8266 0.8266 0.2520  7 Pr 3.29-3.50, 1 Y 3.45

Properties
- energy of formation from the pure elements (eV per atom) = -0.3894
- SG = C2/m (12)
- VASP energy (eV per atom) = -4.91

=====

Material: LiFeIrRu
Method: DFT, PBE
State: optimized geometry

a = 4.1410 Å, b = 4.1410 Å, c = 4.1410 Å
α = 60.00°, β = 60.00°, γ = 60.00°
With the nearest neighbours (Å) after each atom.
Element x y z (fractional)
Li 0.0000 0.0000 0.0000  4 Ru 2.54, 4 Ir 2.54
Fe 0.5000 0.5000 0.5000  4 Ru 2.54, 4 Ir 2.54
Ir 0.2500 0.2500 0.2500  4 Fe 2.54, 4 Li 2.54
Ru 0.7500 0.7500 0.7500  4 Fe 2.54, 4 Li 2.54

Properties
- energy of formation from the pure elements (eV per atom) = 0.0431
- SG = F-43m (216)
- VASP energy (eV per atom) = -7.09

=====

Material: Sr4YAg
Method: DFT, PBE
State: optimized geometry

a = 7.2951 Å, b = 7.2951 Å, c = 7.2951 Å
α = 60.00°, β = 60.00°, γ = 60.00°
With the nearest neighbours (Å) after each atom.
Element x y z (fractional)
Sr 0.1245 0.1245 0.1245  6 Sr 3.63-3.66
Sr 0.1245 0.1245 0.6265  6 Sr 3.63-3.66
Sr 0.1245 0.6265 0.1245  6 Sr 3.63-3.66
Sr 0.6265 0.1245 0.1245  6 Sr 3.63-3.66
Y 0.7500 0.7500 0.7500  12 Sr 4.28, 4 Ag 4.47
Ag 0.5000 0.5000 0.5000  12 Sr 4.28, 4 Y 4.47

Properties
- energy of formation from the pure elements (eV per atom) = 0.5403
- SG = F-43m (216)
- VASP energy (eV per atom) = -2.13

=====

Material: LiLaEuBi
Method: DFT, PBE
State: optimized geometry

a = 5.5866 Å, b = 5.5866 Å, c = 5.5866 Å
α = 60.00°, β = 60.00°, γ = 60.00°
With the nearest neighbours (Å) after each atom.
Element x y z (fractional)
Li 0.0000 0.0000 0.0000  4 Eu 3.42, 4 La 3.42
La 0.2500 0.2500 0.2500  4 Bi 3.42, 4 Li 3.42
Eu 0.7500 0.7500 0.7500  4 Li 3.42, 4 Bi 3.42
Bi 0.5000 0.5000 0.5000  4 La 3.42, 4 Eu 3.42

Properties
- energy of formation from the pure elements (eV per atom) = -0.4365
- SG = F-43m (216)
- VASP energy (eV per atom) = -5.69

=====

Material: Na3Li
Method: DFT, PBE
State: optimized geometry

a = 5.6900 Å, b = 5.6900 Å, c = 5.6900 Å
α = 60.00°, β = 60.00°, γ = 60.00°
With the nearest neighbours (Å) after each atom.
Element x y z (fractional)
Na 0.0000 0.0000 0.0000  8 Na 3.48
Na 0.2500 0.2500 0.2500  4 Li 3.48, 4 Na 3.48
Na 0.7500 0.7500 0.7500  4 Li 3.48, 4 Na 3.48
Li 0.5000 0.5000 0.5000  8 Na 3.48

Properties
- energy above the most stable polymorph in this dataset (eV/f.u.) = 0.043
- energy of formation from the pure elements (eV per atom) = 0.0526
- SG = Fm-3m (225)
- VASP energy (eV per atom) = -1.42

=====

Material: ZnTeSe2
Method: DFT, PBE
State: optimized geometry

a = 4.9704 Å, b = 4.9704 Å, c = 3.9370 Å
α = 90.00°, β = 90.00°, γ = 107.05°
With the nearest neighbours (Å) after each atom.
Element x y z (fractional)
Zn 0.0000 0.0000 0.0000  4 Se 2.70, 2 Te 2.95
Te 0.5000 0.5000 0.0000  4 Se 2.92, 2 Zn 2.95
Se 0.2310 0.7690 0.5000  2 Zn 2.70, 2 Te 2.92, 2 Se 2.97
Se 0.7690 0.2310 0.5000  2 Zn 2.70, 2 Te 2.92, 2 Se 2.97

Properties
- energy above the most stable polymorph in this dataset (eV/f.u.) = 0.428
- SG = Cmmm (65)
- ΔE_f (raw) (eV per atom) = -0.018
- VASP energy (eV per atom) = -2.86

=====

Material: PmScNi2As2
Method: DFT, PBE
State: optimized geometry

a = 4.0690 Å, b = 4.0690 Å, c = 7.4054 Å
α = 90.00°, β = 90.00°, γ = 120.00°
With the nearest neighbours (Å) after each atom.
Element x y z (fractional)
Pm 0.0000 0.0000 0.0000  6 As 3.08, 6 Ni 3.15
Sc 0.0000 0.0000 0.5000  6 Ni 2.85, 6 As 2.91
Ni 0.3333 0.6667 0.7167  3 As 2.35
Ni 0.6667 0.3333 0.2833  3 As 2.35
As 0.3333 0.6667 0.2681  3 Ni 2.35
As 0.6667 0.3333 0.7319  3 Ni 2.35

Properties
- energy of formation from the pure elements (eV per atom) = -1.0019
- SG = P-3m1 (164)
- VASP energy (eV per atom) = -6.33

=====

Material: Co2Ni2Bi
Method: DFT, PBE
State: optimized geometry

a = 6.7001 Å, b = 6.7001 Å, c = 3.1938 Å
α = 90.00°, β = 90.00°, γ = 90.00°
With the nearest neighbours (Å) after each atom.
Element x y z (fractional)
Co 0.1464 0.3536 0.0000  6 Ni 2.45-2.65
Co 0.3536 0.8536 0.0000  6 Ni 2.45-2.65
Co 0.6464 0.1464 0.0000  6 Ni 2.45-2.65
Co 0.8536 0.6464 0.0000  6 Ni 2.45-2.65
Ni 0.1309 0.6309 0.5000  6 Co 2.45-2.65, 1 Ni 2.48, 2 Bi 2.62
Ni 0.3691 0.1309 0.5000  6 Co 2.45-2.65, 1 Ni 2.48, 2 Bi 2.62
Ni 0.6309 0.8691 0.5000  6 Co 2.45-2.65, 1 Ni 2.48, 2 Bi 2.62
Ni 0.8691 0.3691 0.5000  6 Co 2.45-2.65, 1 Ni 2.48, 2 Bi 2.62
Bi 0.0000 0.0000 0.5000  4 Ni 2.62
Bi 0.5000 0.5000 0.5000  4 Ni 2.62

Properties
- energy above the most stable polymorph in this dataset (eV/f.u.) = 0.332
- energy of formation from the pure elements (eV per atom) = 0.4088
- SG = P4/mbm (127)
- VASP energy (eV per atom) = -5.52

=====

Material: Cs2TiHgF6
Method: DFT, PBE
State: optimized geometry

a = 6.6371 Å, b = 6.9025 Å, c = 7.0772 Å
α = 64.44°, β = 62.97°, γ = 63.45°
With the nearest neighbours (Å) after each atom.
Element x y z (fractional)
Cs 0.0000 0.0000 0.0000  6 F 3.00-3.19
Cs 0.4809 0.5168 0.5227  6 F 3.00-3.19
Ti 0.7406 0.7582 0.7615  6 F 1.90
Hg 0.2396 0.2589 0.2616  6 F 3.23-3.57
F 0.4831 0.6405 0.8870  1 Ti 1.90
F 0.5219 0.0392 0.8126  1 Ti 1.90
F 0.7090 0.8555 0.4786  1 Ti 1.90
F 0.7721 0.6612 0.0445  1 Ti 1.90
F 0.9593 0.4773 0.7106  1 Ti 1.90
F 0.9982 0.8759 0.6359  1 Ti 1.90

Properties
- energy above the most stable polymorph in this dataset (eV/f.u.) = 0.000
- SG = P1 (1)
- ΔE_f (raw) (eV per atom) = -2.919
- VASP energy (eV per atom) = -5.03

=====

Material: NaGd2Ni
Method: DFT, PBE
State: optimized geometry

a = 3.4088 Å, b = 3.4088 Å, c = 9.5003 Å
α = 90.00°, β = 90.00°, γ = 90.00°
With the nearest neighbours (Å) after each atom.
Element x y z (fractional)
Na 0.0000 0.0000 0.0000  4 Na 3.41
Gd 0.5000 0.5000 0.3288  4 Ni 2.91, 1 Gd 3.25
Gd 0.5000 0.5000 0.6712  4 Ni 2.91, 1 Gd 3.25
Ni 0.0000 0.0000 0.5000  8 Gd 2.91

Properties
- energy above the most stable polymorph in this dataset (eV/f.u.) = 0.000
- energy of formation from the pure elements (eV per atom) = -0.0973
- SG = P4/mmm (123)
- VASP energy (eV per atom) = -8.91